No. 1
4
Lattice="3.025 0.000 0.000 0.000 3.803 0.000 0.000 0.000 7.727" Properties=species:S:1:pos:R:3 comment="PBE LiSb2P, optimized geometry" e_form_raw_ev_per_atom=-0.066 total_energy_ev_per_fu=-15.83 magnetic_moment_mub_per_fu=0.00 space_group="No. 25" rho_g_cm3=5.26 volume_a3_per_atom=22.23 pbc="T T T"
Li 0.000 0.000 0.000
Sb 1.513 0.000 4.567
Sb 1.513 1.902 1.945
P 1.513 1.902 6.525

=====

No. 2
8
Lattice="-1.667 3.311 4.541 1.667 -3.311 4.541 1.667 3.311 -4.541" Properties=species:S:1:pos:R:3 comment="PBE LiSi2Ni5, optimized geometry" e_form_raw_ev_per_atom=-0.354 total_energy_ev_per_fu=-44.50 magnetic_moment_mub_per_fu=0.00 space_group="No. 71" rho_g_cm3=5.91 volume_a3_per_atom=12.53 polymorph_energy_mev_per_atom=0.0 pbc="T T T"
Li 0.000 0.000 0.000
Si 1.667 0.000 2.258
Si 0.000 3.311 2.283
Ni 1.667 2.021 -1.306
Ni 1.667 2.021 1.306
Ni 0.000 3.311 0.000
Ni 0.000 1.291 3.234
Ni 0.000 1.291 5.847

=====

No. 3
14
Lattice="-4.127 4.127 4.378 4.127 -4.127 4.378 4.127 4.127 -4.378" Properties=species:S:1:pos:R:3 comment="PBE Pu8Rh5N, optimized geometry" e_form_raw_ev_per_atom=-0.421 total_energy_ev_per_fu=-165.64 magnetic_moment_mub_per_fu=42.22 space_group="No. 82" rho_g_cm3=13.81 volume_a3_per_atom=21.30 pbc="T T T"
Pu 1.831 -0.533 2.524
Pu 2.296 4.659 -1.854
Pu 0.507 2.606 0.682
Pu 3.594 2.296 1.854
Pu -0.507 5.647 0.682
Pu -1.520 3.619 3.696
Pu 0.533 1.831 6.232
Pu 1.520 4.634 3.696
Rh 0.000 0.000 0.000
Rh 3.222 2.281 -0.936
Rh 1.846 -0.905 5.313
Rh 0.905 1.846 3.442
Rh 2.281 5.031 0.936
N 4.127 0.000 2.189

=====

No. 4
4
Lattice="4.573 -1.460 0.000 4.573 1.460 0.000 -0.727 0.000 6.906" Properties=species:S:1:pos:R:3 comment="PBE KMnZn2, optimized geometry" total_energy_ev_per_fu=-11.28 magnetic_moment_mub_per_fu=3.77 formation_energy_kcal_per_mol_atoms=8.8 space_group="No. 8" rho_g_cm3=4.05 volume_a3_per_atom=23.05 polymorph_energy_mev_per_atom=106.5 pbc="T T T"
K 0.000 0.000 0.000
Mn 1.582 0.000 4.369
Zn 4.134 0.000 3.594
Zn 6.760 0.000 2.329

=====

No. 5
16
Lattice="9.283 0.000 0.000 -4.642 8.040 0.000 0.000 0.000 6.541" Properties=species:S:1:pos:R:3 comment="PBE La3Sc2Pb3, optimized geometry" total_energy_ev_per_fu=-42.54 magnetic_moment_mub_per_fu=0.29 formation_energy_kcal_per_mol_atoms=-11.5 space_group="No. 193" rho_g_cm3=7.68 volume_a3_per_atom=30.51 pbc="T T T"
La -1.138 1.971 1.635
La -3.504 6.069 4.905
La 2.276 0.000 1.635
La 1.138 1.971 4.905
La 7.007 0.000 4.905
La 3.504 6.069 1.635
Sc 0.000 5.360 0.000
Sc 0.000 5.360 3.270
Sc 4.642 2.680 0.000
Sc 4.642 2.680 3.270
Pb -1.862 3.225 4.905
Pb -2.780 4.815 1.635
Pb 3.724 0.000 4.905
Pb 1.862 3.225 1.635
Pb 5.559 0.000 1.635
Pb 2.780 4.815 4.905

=====

No. 6
4
Lattice="0.000 3.189 3.189 3.189 0.000 3.189 3.189 3.189 0.000" Properties=species:S:1:pos:R:3 comment="PBE CdP2Ir, optimized geometry" total_energy_ev_per_fu=-17.86 magnetic_moment_mub_per_fu=0.00 formation_energy_kcal_per_mol_atoms=15.7 space_group="No. 216" rho_g_cm3=9.39 volume_a3_per_atom=16.21 pbc="T T T"
Cd 0.000 0.000 0.000
P 3.189 3.189 3.189
P 4.783 4.783 4.783
Ir 1.594 1.594 1.594